No. 1
Below is YGa2GeRu2 after structural relaxation, with properties calculated at the PBE-GGA level.

## Properties
energy relative to the elements	-1.1	eV per formula unit

CIF file:
```
data_YGa2GeRu2
_chemical_formula_sum 'Y1 Ga2 Ge1 Ru2'
_cell_length_a 4.5462
_cell_length_b 4.5462
_cell_length_c 5.5958
_cell_angle_alpha 90.00
_cell_angle_beta 90.00
_cell_angle_gamma 90.00
_symmetry_space_group_name_H-M 'P 4/m m m'
_symmetry_Int_Tables_number 123
_symmetry_space_group_name_Hall '-P 4 2'
loop_
_atom_site_label
_atom_site_fract_x
_atom_site_fract_y
_atom_site_fract_z
Y1 0.0000 0.0000 0.0000
Ga1 0.5000 0.5000 0.2319
Ge1 0.0000 0.0000 0.5000
Ru1 0.0000 0.5000 0.5000
```

=====

No. 2
Below is Y2GaGe2Ru5 after structural relaxation, with properties calculated at the PBE-GGA level.

## Properties
energy relative to the elements	-4.2	eV per formula unit

CIF file:
```
data_Y2GaGe2Ru5
_chemical_formula_sum 'Y4 Ga2 Ge4 Ru10'
_cell_length_a 10.0215
_cell_length_b 10.0215
_cell_length_c 3.3321
_cell_angle_alpha 90.00
_cell_angle_beta 90.00
_cell_angle_gamma 90.00
_symmetry_space_group_name_H-M 'P 4/m b m'
_symmetry_Int_Tables_number 127
_symmetry_space_group_name_Hall '-P 4 2ab'
loop_
_atom_site_label
_atom_site_fract_x
_atom_site_fract_y
_atom_site_fract_z
Y1 0.1718 0.3282 0.0000
Ga1 0.0000 0.0000 0.0000
Ge1 0.1297 0.6297 0.0000
Ru1 0.0000 0.5000 0.5000
Ru2 0.0630 0.7990 0.5000
```

=====

No. 3
Below is ZnGaGeRu2 after structural relaxation, with properties calculated at the PBE-GGA level.

## Properties
energy relative to the elements	4.8	eV per formula unit

CIF file:
```
data_ZnGaGeRu2
_chemical_formula_sum 'Zn1 Ga1 Ge1 Ru2'
_cell_length_a 4.6248
_cell_length_b 4.6248
_cell_length_c 4.6848
_cell_angle_alpha 90.00
_cell_angle_beta 90.00
_cell_angle_gamma 90.00
_symmetry_space_group_name_H-M 'P 4/m m m'
_symmetry_Int_Tables_number 123
_symmetry_space_group_name_Hall '-P 4 2'
loop_
_atom_site_label
_atom_site_fract_x
_atom_site_fract_y
_atom_site_fract_z
Zn1 0.0000 0.0000 0.0000
Ga1 0.5000 0.5000 0.0000
Ge1 0.5000 0.5000 0.5000
Ru1 0.0000 0.5000 0.5000
```

=====

No. 4
Below is ZrGaGe2Ru after structural relaxation, with properties calculated at the PBE-GGA level.

## Properties
energy relative to the elements	4.6	eV per formula unit

CIF file:
```
data_ZrGaGe2Ru
_chemical_formula_sum 'Zr1 Ga1 Ge2 Ru1'
_cell_length_a 5.3029
_cell_length_b 5.3029
_cell_length_c 4.8988
_cell_angle_alpha 90.00
_cell_angle_beta 90.00
_cell_angle_gamma 90.00
_symmetry_space_group_name_H-M 'P 4/m m m'
_symmetry_Int_Tables_number 123
_symmetry_space_group_name_Hall '-P 4 2'
loop_
_atom_site_label
_atom_site_fract_x
_atom_site_fract_y
_atom_site_fract_z
Zr1 0.0000 0.0000 0.0000
Ga1 0.5000 0.5000 0.5000
Ge1 0.0000 0.5000 0.0000
Ru1 0.0000 0.0000 0.5000
```

=====

No. 5
Below is Zr2GaGe2Ru5 after structural relaxation, with properties calculated at the PBE-GGA level.

## Properties
energy relative to the elements	-4.5	eV per formula unit

CIF file:
```
data_Zr2GaGe2Ru5
_chemical_formula_sum 'Zr4 Ga2 Ge4 Ru10'
_cell_length_a 9.7982
_cell_length_b 9.7982
_cell_length_c 3.3168
_cell_angle_alpha 90.00
_cell_angle_beta 90.00
_cell_angle_gamma 90.00
_symmetry_space_group_name_H-M 'P 4/m b m'
_symmetry_Int_Tables_number 127
_symmetry_space_group_name_Hall '-P 4 2ab'
loop_
_atom_site_label
_atom_site_fract_x
_atom_site_fract_y
_atom_site_fract_z
Zr1 0.1711 0.3289 0.0000
Ga1 0.0000 0.0000 0.0000
Ge1 0.1301 0.6301 0.0000
Ru1 0.0000 0.5000 0.5000
Ru2 0.0556 0.7964 0.5000
```

=====

No. 6
Below is Ga2GeS after structural relaxation, with properties calculated at the PBE-GGA level.

## Properties
polymorph energy (0 for the lowest one)	0.508	eV/atom

CIF file:
```
data_Ga2GeS
_chemical_formula_sum 'Ga8 Ge4 S4'
_cell_length_a 6.6953
_cell_length_b 6.6953
_cell_length_c 6.6953
_cell_angle_alpha 90.00
_cell_angle_beta 90.00
_cell_angle_gamma 90.00
_symmetry_space_group_name_H-M 'F m -3 m'
_symmetry_Int_Tables_number 225
_symmetry_space_group_name_Hall '-F 4 2 3'
loop_
_atom_site_label
_atom_site_fract_x
_atom_site_fract_y
_atom_site_fract_z
Ga1 0.2500 0.2500 0.2500
Ge1 0.0000 0.0000 0.0000
S1 0.0000 0.0000 0.5000
```

=====

No. 7
Below is GaGeS2 after structural relaxation, with properties calculated at the PBE-GGA level.

## Properties
energy	-4.16	eV/atom

CIF file:
```
data_GaGeS2
_chemical_formula_sum 'Ga3 Ge3 S6'
_cell_length_a 3.5205
_cell_length_b 3.5205
_cell_length_c 23.5535
_cell_angle_alpha 90.00
_cell_angle_beta 90.00
_cell_angle_gamma 120.00
_symmetry_space_group_name_H-M 'R -3 m'
_symmetry_Int_Tables_number 166
_symmetry_space_group_name_Hall '-R 3 2"'
loop_
_atom_site_label
_atom_site_fract_x
_atom_site_fract_y
_atom_site_fract_z
Ga1 0.0000 0.0000 0.0000
Ge1 0.0000 0.0000 0.5000
S1 0.0000 0.0000 0.3911
```

=====

No. 8
Below is Ga2GeS after structural relaxation, with properties calculated at the PBE-GGA level.

## Properties
polymorph energy (0 for the lowest one)	0.369	eV/atom

CIF file:
```
data_Ga2GeS
_chemical_formula_sum 'Ga6 Ge3 S3'
_cell_length_a 3.9958
_cell_length_b 3.9958
_cell_length_c 21.0241
_cell_angle_alpha 90.00
_cell_angle_beta 90.00
_cell_angle_gamma 120.00
_symmetry_space_group_name_H-M 'R -3 m'
_symmetry_Int_Tables_number 166
_symmetry_space_group_name_Hall '-R 3 2"'
loop_
_atom_site_label
_atom_site_fract_x
_atom_site_fract_y
_atom_site_fract_z
Ga1 0.0000 0.0000 0.1048
Ge1 0.0000 0.0000 0.5000
S1 0.0000 0.0000 0.0000
```